# 1
Density functional theory data (PBE-GGA) for a relaxed ZrBeAl2 crystal.

Values from the calculation:
DFT formation energy = 0.89 eV per formula unit
Total energy = -4.716 eV/atom

CIF file:
```
data_ZrBeAl2
_chemical_formula_sum 'Zr2 Be2 Al4'
_cell_length_a 9.8875
_cell_length_b 9.8875
_cell_length_c 9.8875
_cell_angle_alpha 157.59
_cell_angle_beta 157.59
_cell_angle_gamma 31.90
_space_group_name_H-M_alt 'P 1'
_space_group_IT_number 1
_space_group_name_Hall 'P 1'
loop_
_atom_site_label
_atom_site_type_symbol
_atom_site_fract_x
_atom_site_fract_y
_atom_site_fract_z
Zr1 Zr 0.0000 0.0000 0.0000
Zr2 Zr 0.7500 0.2500 0.5000
Be1 Be 0.2500 0.7500 0.5000
Be2 Be 0.5000 0.5000 0.0000
Al1 Al 0.1374 0.6250 0.0124
Al2 Al 0.3750 0.3874 0.5124
Al3 Al 0.6126 0.1250 0.9876
Al4 Al 0.8750 0.8626 0.4876
```

# 2
Density functional theory data (PBE-GGA) for a relaxed BaCuAsSe2 crystal.

Values from the calculation:
Total energy = -2.610 eV/atom
Polymorph energy (0 for the lowest one) = 1.465 eV/atom
Uncorrected formation energy = 0.917 eV per atom

CIF file:
```
data_BaCuAsSe2
_chemical_formula_sum 'Ba1 Cu1 As1 Se2'
_cell_length_a 6.1306
_cell_length_b 6.1306
_cell_length_c 6.2303
_cell_angle_alpha 90.00
_cell_angle_beta 90.00
_cell_angle_gamma 90.00
_space_group_name_H-M_alt 'P 1'
_space_group_IT_number 1
_space_group_name_Hall 'P 1'
loop_
_atom_site_label
_atom_site_type_symbol
_atom_site_fract_x
_atom_site_fract_y
_atom_site_fract_z
Ba1 Ba 0.0000 0.0000 0.0000
Cu1 Cu 0.5000 0.5000 0.5000
As1 As 0.0000 0.0000 0.5000
Se1 Se 0.0000 0.5000 0.0000
Se2 Se 0.5000 0.0000 0.0000
```

# 3
Density functional theory data (PBE-GGA) for a relaxed Ce2TmSn3 crystal.

Values from the calculation:
DFT formation energy = -3.45 eV per formula unit
Total energy = -5.300 eV/atom
Polymorph energy (0 for the lowest one) = 0.000 eV/atom

CIF file:
```
data_Ce2TmSn3
_chemical_formula_sum 'Ce2 Tm1 Sn3'
_cell_length_a 9.0896
_cell_length_b 9.0896
_cell_length_c 3.2703
_cell_angle_alpha 90.00
_cell_angle_beta 90.00
_cell_angle_gamma 142.86
_space_group_name_H-M_alt 'P 1'
_space_group_IT_number 1
_space_group_name_Hall 'P 1'
loop_
_atom_site_label
_atom_site_type_symbol
_atom_site_fract_x
_atom_site_fract_y
_atom_site_fract_z
Ce1 Ce 0.1662 0.8338 0.0000
Ce2 Ce 0.8338 0.1662 0.0000
Tm1 Tm 0.5000 0.5000 0.0000
Sn1 Sn 0.0000 0.0000 0.5000
Sn2 Sn 0.3369 0.6631 0.5000
Sn3 Sn 0.6631 0.3369 0.5000
```

# 4
Density functional theory data (PBE-GGA) for a relaxed MgIn2Br4 crystal.

Values from the calculation:
Total energy = -2.934 eV/atom
Polymorph energy (0 for the lowest one) = 0.029 eV/atom
Uncorrected formation energy = -0.968 eV per atom

CIF file:
```
data_MgIn2Br4
_chemical_formula_sum 'Mg1 In2 Br4'
_cell_length_a 7.2339
_cell_length_b 7.2339
_cell_length_c 9.1751
_cell_angle_alpha 119.66
_cell_angle_beta 119.66
_cell_angle_gamma 32.60
_space_group_name_H-M_alt 'P 1'
_space_group_IT_number 1
_space_group_name_Hall 'P 1'
loop_
_atom_site_label
_atom_site_type_symbol
_atom_site_fract_x
_atom_site_fract_y
_atom_site_fract_z
Mg1 Mg 0.0000 0.0000 0.0000
In1 In 0.3285 0.3285 0.3462
In2 In 0.6715 0.6715 0.6538
Br1 Br 0.0985 0.0985 0.3424
Br2 Br 0.3600 0.3600 0.9733
Br3 Br 0.6400 0.6400 0.0267
Br4 Br 0.9015 0.9015 0.6576
```

Q: Look up the total energy of the second one.
A: -2.610 eV/atom

Q: What is the formula in the fourth record?
A: MgIn2Br4

Q: Which formula does entry 3 have?
A: Ce2TmSn3

Q: What is the formula in the first record?
A: ZrBeAl2